VASP calculation (GGA-PBE) on a relaxed structure of KAg2TeS.

a b c (Å): 5.2267 6.9735 5.2267
angles (deg): 90.00 90.00 90.00
Last column: nearest neighbours and their distance in Å.
Fractional coordinates of all 5 atoms:
1 K 0.0000 0.5000 0.0000  2 Te 3.49, 4 S 3.70
2 Te 0.0000 0.0000 0.0000  4 Ag 2.61
3 S 0.5000 0.5000 0.5000  4 K 3.70
4 Ag 0.0000 0.0000 0.5000  2 Te 2.61
5 Ag 0.5000 0.0000 0.0000  2 Te 2.61

Results
V = 190.50 Å³/cell
ρ = 3613 kg/m³
formation energy without anion corrections = 9.4 kJ/mol of atoms

---

VASP calculation (GGA-PBE) on a relaxed structure of KThAg2S4.

a b c (Å): 7.0010 6.3772 6.3772
angles (deg): 67.60 56.71 56.71
Last column: nearest neighbours and their distance in Å.
Fractional coordinates of all 8 atoms:
1 K 0.0000 0.0000 0.0000  8 S 3.23
2 Th 0.5000 0.5000 0.5000  4 S 2.71
3 Ag 0.2285 0.2715 0.2715  4 S 2.51-2.59
4 Ag 0.7715 0.7285 0.7285  4 S 2.51-2.59
5 S 0.4813 0.0802 0.5165  2 Ag 2.51-2.59, 1 Th 2.71
6 S 0.0781 0.9198 0.4835  2 Ag 2.51-2.59, 1 Th 2.71
7 S 0.9219 0.5165 0.0802  2 Ag 2.51-2.59, 1 Th 2.71
8 S 0.5187 0.4835 0.9198  2 Ag 2.51-2.59, 1 Th 2.71

Results
V = 197.64 Å³/cell
ρ = 5168 kg/m³
formation energy without anion corrections = -83.6 kJ/mol of atoms

---

| no. | VASP energy (eV/atom) |
| --- | --- |
| 1 | -2.72 |
| 2 | -4.71 |